DFT (PBE) results for a geometry-optimized Y4HoPd structure.

- M_tot (μB per cell) = 0.0
- formation energy from the elements (eV per atom) = -0.20

Cell: 9.1776 13.1465 6.1172 Å, 90.00 107.65 90.00°
Closest atoms and distances in Å follow each position.
Space group C2/c (No. 15)
Symmetry-distinct sites (fractional):
Y 0.1099 0.1754 0.0538  2 Pd 2.93
Y 0.2273 0.4008 0.3684  2 Pd 3.09-3.15, 1 Ho 3.32
Ho 0.0000 0.3969 0.7500  8 Y 3.32-3.57
Pd 0.0000 0.0009 0.7500  8 Y 2.93-3.15, 2 Pd 3.06

DFT (PBE) results for a geometry-optimized TbP2Rh5Au structure.

- M_tot (μB per cell) = 0.0
- formation energy from the elements (eV per atom) = -0.54

Cell: 4.1310 4.1310 8.3994 Å, 90.00 90.00 90.00°
Closest atoms and distances in Å follow each position.
Space group P4/mmm (No. 123)
Symmetry-distinct sites (fractional):
Tb 0.0000 0.0000 0.0000  12 Rh 2.92-2.95
P 0.5000 0.5000 0.3659  1 P 2.25, 4 Rh 2.28
Rh 0.0000 0.5000 0.2506  2 P 2.28
Rh 0.5000 0.5000 0.0000  4 Tb 2.92, 8 Rh 2.95, 2 P 3.07
Au 0.0000 0.0000 0.5000  8 Rh 2.94, 8 P 3.13

DFT (PBE) results for a geometry-optimized OsC2 structure.

- relative energy among the computed polymorphs (eV per atom) = 1.755
- M_tot (μB per cell) = 0.0
- formation energy from the elements (eV per atom) = 2.32

Cell: 3.4118 11.8403 2.7029 Å, 90.00 90.00 90.00°
Closest atoms and distances in Å follow each position.
Space group Cmmm (No. 65)
Symmetry-distinct sites (fractional):
Os 0.0000 0.1541 0.0000  8 C 2.22-2.28
C 0.0000 0.0000 0.5000  4 C 2.18, 4 Os 2.27
C 0.0000 0.3090 0.5000  2 C 2.21, 6 Os 2.22-2.28
C 0.0000 0.5000 0.0000  4 C 2.18

DFT (PBE) results for a geometry-optimized Ir2RuW structure.

- relative energy among the computed polymorphs (eV per atom) = 0.634
- M_tot (μB per cell) = 3.6
- formation energy from the elements (eV per atom) = 0.37

Cell: 6.2393 6.2393 6.2393 Å, 90.00 90.00 90.00°
Closest atoms and distances in Å follow each position.
Space group Fm-3m (No. 225)
Symmetry-distinct sites (fractional):
Ir 0.2500 0.2500 0.2500  4 W 2.70, 4 Ru 2.70
Ru 0.0000 0.0000 0.0000  8 Ir 2.70
W 0.0000 0.0000 0.5000  8 Ir 2.70

DFT (PBE) results for a geometry-optimized Ta2InCo structure.

- M_tot (μB per cell) = 0.7
- formation energy from the elements (eV per atom) = 0.03

Cell: 2.9109 2.9109 7.9889 Å, 90.00 90.00 90.00°
Closest atoms and distances in Å follow each position.
Space group P4/mmm (No. 123)
Symmetry-distinct sites (fractional):
Ta 0.0000 0.0000 0.2083  4 Co 2.65, 4 Ta 2.91
In 0.5000 0.5000 0.5000  4 In 2.91, 8 Ta 3.11
Co 0.5000 0.5000 0.0000  8 Ta 2.65, 4 Co 2.91

DFT (PBE) results for a geometry-optimized AcLa9Pb2 structure.

- M_tot (μB per cell) = 0.0
- formation energy from the elements (eV per atom) = -0.24

Cell: 5.1380 5.1380 15.6738 Å, 90.00 90.00 90.00°
Closest atoms and distances in Å follow each position.
Space group P4/mmm (No. 123)
Symmetry-distinct sites (fractional):
Ac 0.0000 0.0000 0.0000  12 La 3.63-3.77
La 0.0000 0.5000 0.1764  2 Pb 3.61, 8 La 3.63-3.77, 2 Ac 3.77
La 0.0000 0.5000 0.5000  8 La 3.58-3.63, 4 Pb 3.61
La 0.5000 0.5000 0.0000  4 Ac 3.63, 8 La 3.77
La 0.5000 0.5000 0.3412  8 La 3.58-3.64, 4 Pb 3.63
Pb 0.0000 0.0000 0.3382  12 La 3.61-3.63

DFT (PBE) results for a geometry-optimized Tb7ErAl4 structure.

- M_tot (μB per cell) = 0.0
- formation energy from the elements (eV per atom) = -0.06

Cell: 13.8985 5.4999 10.4231 Å, 90.00 124.48 90.00°
Closest atoms and distances in Å follow each position.
Space group C2/m (No. 12)
Symmetry-distinct sites (fractional):
Tb 0.0000 0.0000 0.0000  2 Er 2.75, 4 Al 2.90-2.97
Tb 0.0654 0.5000 0.3885  5 Al 3.09-3.36, 2 Tb 3.22-3.42
Tb 0.2051 0.0000 0.6488  4 Al 2.93-3.16
Tb 0.2103 0.5000 0.8787  4 Tb 3.22-3.47, 4 Al 3.28-3.36
Er 0.0000 0.5000 0.0000  2 Tb 2.75
Al 0.0537 0.0000 0.7614  1 Al 2.76, 2 Tb 2.93-2.97
Al 0.1761 0.0000 0.3324  1 Al 2.76, 3 Tb 2.90-3.09

DFT (PBE) results for a geometry-optimized Nd2Ho12Er structure.

- M_tot (μB per cell) = 0.0
- formation energy from the elements (eV per atom) = 0.12

Cell: 7.0709 11.1687 24.3487 Å, 90.00 94.14 90.00°
Closest atoms and distances in Å follow each position.
Space group C2/m (No. 12)
Symmetry-distinct sites (fractional):
Nd 0.0656 0.0000 0.2718  2 Nd 3.52-3.55, 10 Ho 3.60-3.76
Nd 0.0678 0.5000 0.2721  2 Nd 3.52-3.55, 10 Ho 3.60-3.77
Ho 0.0173 0.2500 0.0733  9 Ho 3.54-3.63, 4 Er 3.75-3.76
Ho 0.1116 0.2512 0.4453  10 Ho 3.19-3.54
Ho 0.1416 0.0000 0.5724  8 Ho 3.33-3.66
Ho 0.1437 0.5000 0.5707  8 Ho 3.32-3.67
Ho 0.1682 0.2509 0.6691  5 Ho 3.18-3.54
Ho 0.2015 0.2500 0.8002  7 Ho 3.18-3.54
Ho 0.2175 0.0000 0.8651  4 Ho 3.21-3.54, 1 Er 3.28
Ho 0.2174 0.5000 0.8650  4 Ho 3.21-3.54, 1 Er 3.28
Er 0.2500 0.0000 0.0001  2 Ho 3.28, 2 Er 3.53-3.54

DFT (PBE) results for a geometry-optimized Li2Dy3RhPb3 structure.

- M_tot (μB per cell) = 0.0
- formation energy from the elements (eV per atom) = -0.52

Cell: 8.4086 8.4086 3.5357 Å, 90.00 90.00 120.00°
Closest atoms and distances in Å follow each position.
Space group P-62m (No. 189)
Symmetry-distinct sites (fractional):
Li 0.3333 0.6667 0.0000  6 Pb 3.13, 3 Dy 3.17
Dy 0.0000 0.7425 0.0000  2 Rh 2.80
Rh 0.0000 0.0000 0.5000  6 Dy 2.80
Pb 0.0000 0.3947 0.5000  4 Li 3.13, 1 Rh 3.32, 6 Dy 3.41-3.42

DFT (PBE) results for a geometry-optimized CsPdBr6 structure.

- relative energy among the computed polymorphs (eV per atom) = 0.000
- M_tot (μB per cell) = 0.0

Cell: 12.0871 8.1096 8.0394 Å, 90.00 128.33 90.00°
Closest atoms and distances in Å follow each position.
Space group C2/m (No. 12)
Symmetry-distinct sites (fractional):
Cs 0.0000 0.0000 0.0000  10 Br 3.80-4.06
Pd 0.0000 0.5000 0.5000  6 Br 2.51-2.53
Br 0.1445 0.2617 0.5230  1 Pd 2.53, 1 Br 2.80
Br 0.1473 0.5000 0.8962  1 Pd 2.51

DFT (PBE) results for a geometry-optimized Sn2Bi4Pb3 structure.

- relative energy among the computed polymorphs (eV per atom) = 0.000
- M_tot (μB per cell) = 0.0
- formation energy from the elements (eV per atom) = 0.06

Cell: 15.4734 12.4911 6.2411 Å, 90.00 100.29 90.00°
Closest atoms and distances in Å follow each position.
Space group C2/c (No. 15)
Symmetry-distinct sites (fractional):
Sn 0.2129 0.1110 0.4613  5 Bi 3.17-3.26, 1 Pb 3.41
Bi 0.0865 0.3201 0.4611  2 Sn 3.17-3.26, 4 Pb 3.35-3.49, 1 Bi 3.40
Bi 0.1611 0.1360 0.9369  3 Sn 3.18-3.24, 3 Pb 3.36-3.48
Pb 0.0000 0.0497 0.2500  2 Pb 3.36, 2 Sn 3.41, 4 Bi 3.45-3.60
Pb 0.1214 0.4090 0.9766  6 Bi 3.35-3.49, 1 Sn 3.57

DFT (PBE) results for a geometry-optimized MgZrGaHg structure.

- relative energy among the computed polymorphs (eV per atom) = 0.000
- M_tot (μB per cell) = 0.0
- formation energy from the elements (eV per atom) = -0.33

Cell: 4.0639 4.2279 4.6037 Å, 90.00 90.00 90.00°
Closest atoms and distances in Å follow each position.
Space group Pmmm (No. 47)
Symmetry-distinct sites (fractional):
Mg 0.0000 0.0000 0.0000  4 Hg 2.93, 4 Ga 3.07, 4 Zr 3.13
Zr 0.0000 0.5000 0.5000  4 Ga 2.93, 4 Hg 3.07, 4 Mg 3.13
Ga 0.5000 0.0000 0.5000  4 Zr 2.93, 4 Mg 3.07, 4 Hg 3.13
Hg 0.5000 0.5000 0.0000  4 Mg 2.93, 4 Zr 3.07, 4 Ga 3.13

- What is the M_tot in the ninth record?
  0.0 μB per cell

- Which formula does entry 1 have?
  Y4HoPd

- What is the formula in the first record?
  Y4HoPd

- Which of these has the highest M_tot?
  Ir2RuW